Record 1
Entry from Alexandria via LeMat-Bulk: a relaxed structure of TlInHBr2 (PBE).

total moment	0.0	μB per formula unit
calculated total energy	-2.8087	eV per atom
density of states at the Fermi level	1.22	states/eV per cell
space-group type	P4/mmm

```
5
Lattice="5.7815 0.0000 0.0000 0.0000 5.7815 0.0000 0.0000 0.0000 3.8404" Properties=species:S:1:pos:R:3 pbc="T T T"
In 0.0000 0.0000 0.0000
Tl 2.8907 2.8907 1.9202
H 0.0000 0.0000 1.9202
Br 2.8907 0.0000 0.0000
Br 0.0000 2.8907 0.0000
```

=====

Record 2
Entry from Alexandria via LeMat-Bulk: a relaxed structure of In2HWBr (PBE).

total moment	2.8	μB per formula unit
calculated total energy	-3.6176	eV per atom
density of states at the Fermi level	3.96	states/eV per cell
space-group type	P4/mmm

```
5
Lattice="-3.6708 -0.4402 2.2422 -2.1574 -2.7858 -4.0789 1.4920 -3.6753 1.7210" Properties=species:S:1:pos:R:3 pbc="T T T"
H 0.0000 0.0000 0.0000
Br -1.0787 -1.3929 -2.0394
In 0.7460 -1.8376 0.8605
In -1.8354 -0.2201 1.1211
W -2.1681 -3.4507 -0.0578
```

=====

Record 3
Entry from Alexandria via LeMat-Bulk: a relaxed structure of HIrBr2 (PBE).

total moment	0.3	μB per formula unit
calculated total energy	-2.7496	eV per atom
density of states at the Fermi level	2.96	states/eV per cell
E above lowest polymorph	365.6	meV per atom
space-group type	Fm-3m

```
4
Lattice="0.0000 3.2106 3.2106 3.2106 0.0000 3.2106 3.2106 3.2106 0.0000" Properties=species:S:1:pos:R:3 pbc="T T T"
H 0.0000 0.0000 0.0000
Br 4.8159 4.8159 4.8159
Br 1.6053 1.6053 1.6053
Ir 3.2106 3.2106 3.2106
```